Entry 1:
VASP calculation (GGA-PBEsol) on a geometry-optimized CaZrPt2 structure.

Formation enthalpy at 0 K, meV per atom: -948
Calculated volume, Å³/cell: 79.2

a = 3.3453 Å, b = 3.3453 Å, c = 7.0764 Å
α = 90.00°, β = 90.00°, γ = 90.00°
Fractional positions:
Ca1 0.0000 0.0000 0.0000
Zr1 0.0000 0.0000 0.5000
Pt1 0.5000 0.5000 0.2922
Pt2 0.5000 0.5000 0.7078

=====

Entry 2:
VASP calculation (GGA-PBEsol) on a geometry-optimized CaZrPt2 structure.

Formation enthalpy at 0 K, meV per atom: -728
Calculated volume, Å³/cell: 74.6

a = 5.4111 Å, b = 5.4111 Å, c = 5.0156 Å
α = 100.65°, β = 100.65°, γ = 31.17°
Fractional positions:
Ca1 0.0000 0.0000 0.0000
Zr1 0.2087 0.2087 0.6155
Pt1 0.4640 0.4640 0.4872
Pt2 0.7500 0.7500 0.1340

=====

Entry 3:
VASP calculation (GGA-PBEsol) on a geometry-optimized RbCa3 structure.

Formation enthalpy at 0 K, meV per atom: 206
Calculated volume, Å³/cell: 187.8

a = 6.9846 Å, b = 6.9846 Å, c = 6.9846 Å
α = 131.38°, β = 131.38°, γ = 71.21°
Fractional positions:
Rb1 0.0000 0.0000 0.0000
Ca1 0.2500 0.7500 0.5000
Ca2 0.5000 0.5000 0.0000
Ca3 0.7500 0.2500 0.5000

=====

Entry 4:
VASP calculation (GGA-PBEsol) on a geometry-optimized RbCa3 structure.

Formation enthalpy at 0 K, meV per atom: 207
Calculated volume, Å³/cell: 188.6

a = 6.4370 Å, b = 6.4370 Å, c = 6.4370 Å
α = 60.00°, β = 60.00°, γ = 60.00°
Fractional positions:
Rb1 0.0000 0.0000 0.0000
Ca1 0.2500 0.2500 0.2500
Ca2 0.5000 0.5000 0.5000
Ca3 0.7500 0.7500 0.7500

=====

Entry 5:
VASP calculation (GGA-PBEsol) on a geometry-optimized RbCaRh3 structure.

Formation enthalpy at 0 K, meV per atom: 1486
Calculated volume, Å³/cell: 119.2

a = 4.9208 Å, b = 4.9208 Å, c = 4.9208 Å
α = 90.00°, β = 90.00°, γ = 90.00°
Fractional positions:
Rb1 0.0000 0.0000 0.0000
Ca1 0.5000 0.5000 0.5000
Rh1 0.0000 0.5000 0.5000
Rh2 0.5000 0.0000 0.5000
Rh3 0.5000 0.5000 0.0000

=====

Entry 6:
VASP calculation (GGA-PBEsol) on a geometry-optimized RbCa3Rh structure.

Offset from the most stable computed form, eV per atom: 1.720
Formation enthalpy at 0 K, meV per atom: 1578
Calculated volume, Å³/cell: 152.6

a = 5.3442 Å, b = 5.3442 Å, c = 5.3442 Å
α = 90.00°, β = 90.00°, γ = 90.00°
Fractional positions:
Rb1 0.0000 0.0000 0.0000
Ca1 0.0000 0.0000 0.5000
Ca2 0.0000 0.5000 0.0000
Ca3 0.5000 0.0000 0.0000
Rh1 0.5000 0.5000 0.5000

=====

Entry 7:
VASP calculation (GGA-PBEsol) on a geometry-optimized RbCa3Rh structure.

Offset from the most stable computed form, eV per atom: 0.000
Formation enthalpy at 0 K, meV per atom: -141
Calculated volume, Å³/cell: 393.4

a = 9.0601 Å, b = 4.1173 Å, c = 10.5502 Å
α = 90.00°, β = 91.75°, γ = 90.00°
Fractional positions:
Rb1 0.2482 0.2500 0.0519
Rb2 0.7518 0.7500 0.9481
Ca1 0.0616 0.7500 0.3819
Ca2 0.2576 0.7500 0.6884
Ca3 0.4293 0.7500 0.3833
Ca4 0.5707 0.2500 0.6167
Ca5 0.7424 0.2500 0.3116
Ca6 0.9384 0.2500 0.6181
Rh1 0.2501 0.2500 0.5072
Rh2 0.7499 0.7500 0.4928

=====

Entry 8:
VASP calculation (GGA-PBEsol) on a geometry-optimized Rb3CaRh structure.

Formation enthalpy at 0 K, meV per atom: 729
Calculated volume, Å³/cell: 243.2

a = 6.2417 Å, b = 6.2417 Å, c = 6.2417 Å
α = 90.00°, β = 90.00°, γ = 90.00°
Fractional positions:
Rb1 0.0000 0.0000 0.5000
Rb2 0.0000 0.5000 0.0000
Rb3 0.5000 0.0000 0.0000
Ca1 0.5000 0.5000 0.5000
Rh1 0.0000 0.0000 0.0000

=====

Entry 9:
VASP calculation (GGA-PBEsol) on a geometry-optimized Rb2Ca2Ru structure.

Formation enthalpy at 0 K, meV per atom: 1328
Calculated volume, Å³/cell: 240.4

a = 11.3018 Å, b = 11.3018 Å, c = 11.3018 Å
α = 155.90°, β = 155.90°, γ = 34.34°
Fractional positions:
Rb1 0.0813 0.0813 0.0000
Rb2 0.9187 0.9187 0.0000
Ca1 0.2500 0.7500 0.5000
Ca2 0.7500 0.2500 0.5000
Ru1 0.5000 0.5000 0.0000

=====

Entry 10:
VASP calculation (GGA-PBEsol) on a geometry-optimized RbCa3Ru structure.

Formation enthalpy at 0 K, meV per atom: 253
Calculated volume, Å³/cell: 178.4

a = 5.6291 Å, b = 5.6291 Å, c = 5.6291 Å
α = 90.00°, β = 90.00°, γ = 90.00°
Fractional positions:
Rb1 0.0000 0.0000 0.0000
Ca1 0.0000 0.5000 0.5000
Ca2 0.5000 0.0000 0.5000
Ca3 0.5000 0.5000 0.0000
Ru1 0.5000 0.5000 0.5000

=====

Entry 11:
VASP calculation (GGA-PBEsol) on a geometry-optimized RbSr2CaRu structure.

Formation enthalpy at 0 K, meV per atom: 1845
Calculated volume, Å³/cell: 180.4

a = 5.7579 Å, b = 5.7579 Å, c = 5.4407 Å
α = 90.00°, β = 90.00°, γ = 90.00°
Fractional positions:
Rb1 0.0000 0.0000 0.0000
Sr1 0.0000 0.5000 0.0000
Sr2 0.5000 0.0000 0.0000
Ca1 0.0000 0.0000 0.5000
Ru1 0.5000 0.5000 0.5000

=====

Entry 12:
VASP calculation (GGA-PBEsol) on a geometry-optimized RbCa3S structure.

Energy relative to the elements, uncorrected, eV per atom: 1.099
Calculated volume, Å³/cell: 206.6

a = 5.9119 Å, b = 5.9119 Å, c = 5.9119 Å
α = 90.00°, β = 90.00°, γ = 90.00°
Fractional positions:
Rb1 0.0000 0.0000 0.0000
Ca1 0.0000 0.0000 0.5000
Ca2 0.0000 0.5000 0.0000
Ca3 0.5000 0.0000 0.0000
S1 0.5000 0.5000 0.5000

=====

Entry 13:
VASP calculation (GGA-PBEsol) on a geometry-optimized Rb2CaSiS structure.

Energy relative to the elements, uncorrected, eV per atom: 0.261
Calculated volume, Å³/cell: 220.5

a = 6.9295 Å, b = 6.9295 Å, c = 4.5916 Å
α = 90.00°, β = 90.00°, γ = 90.00°
Fractional positions:
Rb1 0.0000 0.5000 0.0000
Rb2 0.5000 0.0000 0.0000
Ca1 0.0000 0.0000 0.5000
Si1 0.5000 0.5000 0.0000
S1 0.5000 0.5000 0.5000

=====

Entry 14:
VASP calculation (GGA-PBEsol) on a geometry-optimized RbCa2Sb2 structure.

Offset from the most stable computed form, eV per atom: 0.122
Energy relative to the elements, uncorrected, eV per atom: -0.678
Calculated volume, Å³/cell: 183.4

a = 7.5029 Å, b = 7.5029 Å, c = 7.5029 Å
α = 138.51°, β = 138.51°, γ = 60.12°
Fractional positions:
Rb1 0.0000 0.0000 0.0000
Ca1 0.2500 0.7500 0.5000
Ca2 0.7500 0.2500 0.5000
Sb1 0.3789 0.3789 0.0000
Sb2 0.6211 0.6211 0.0000

=====

Entry 15:
VASP calculation (GGA-PBEsol) on a geometry-optimized Rb3CaSb structure.

Energy relative to the elements, uncorrected, eV per atom: 0.093
Calculated volume, Å³/cell: 341.8

a = 6.9916 Å, b = 6.9916 Å, c = 6.9916 Å
α = 90.00°, β = 90.00°, γ = 90.00°
Fractional positions:
Rb1 0.0000 0.0000 0.5000
Rb2 0.0000 0.5000 0.0000
Rb3 0.5000 0.0000 0.0000
Ca1 0.5000 0.5000 0.5000
Sb1 0.0000 0.0000 0.0000

=====

Entry 16:
VASP calculation (GGA-PBEsol) on a geometry-optimized RbCa2Sb2 structure.

Offset from the most stable computed form, eV per atom: 0.000
Energy relative to the elements, uncorrected, eV per atom: -0.801
Calculated volume, Å³/cell: 308.0

a = 9.2443 Å, b = 9.2443 Å, c = 3.6042 Å
α = 90.00°, β = 90.00°, γ = 90.00°
Fractional positions:
Rb1 0.0000 0.0000 0.0000
Rb2 0.5000 0.5000 0.0000
Ca1 0.1305 0.3695 0.0000
Ca2 0.3695 0.8695 0.0000
Ca3 0.6305 0.1305 0.0000
Ca4 0.8695 0.6305 0.0000
Sb1 0.1648 0.6648 0.5000
Sb2 0.3352 0.1648 0.5000
Sb3 0.6648 0.8352 0.5000
Sb4 0.8352 0.3352 0.5000

=====

Entry 17:
VASP calculation (GGA-PBEsol) on a geometry-optimized RbCaSb structure.

Energy relative to the elements, uncorrected, eV per atom: -0.803
Calculated volume, Å³/cell: 238.5

a = 5.3305 Å, b = 5.3305 Å, c = 8.3953 Å
α = 90.00°, β = 90.00°, γ = 90.00°
Fractional positions:
Rb1 0.2500 0.2500 0.1353
Rb2 0.7500 0.7500 0.8647
Ca1 0.2500 0.7500 0.5000
Ca2 0.7500 0.2500 0.5000
Sb1 0.2500 0.2500 0.6973
Sb2 0.7500 0.7500 0.3027

=====

Entry 18:
VASP calculation (GGA-PBEsol) on a geometry-optimized RbCaSc3 structure.

Formation enthalpy at 0 K, meV per atom: 1153
Calculated volume, Å³/cell: 171.3

a = 5.5534 Å, b = 5.5534 Å, c = 5.5534 Å
α = 90.00°, β = 90.00°, γ = 90.00°
Fractional positions:
Rb1 0.0000 0.0000 0.0000
Ca1 0.5000 0.5000 0.5000
Sc1 0.0000 0.5000 0.5000
Sc2 0.5000 0.0000 0.5000
Sc3 0.5000 0.5000 0.0000

=====

Entry 19:
VASP calculation (GGA-PBEsol) on a geometry-optimized RbCaSe2 structure.

Energy relative to the elements, uncorrected, eV per atom: -1.078
Calculated volume, Å³/cell: 106.7

a = 5.3235 Å, b = 5.3235 Å, c = 5.3235 Å
α = 60.00°, β = 60.00°, γ = 60.00°
Fractional positions:
Rb1 0.0000 0.0000 0.0000
Ca1 0.5000 0.5000 0.5000
Se1 0.2500 0.2500 0.2500
Se2 0.7500 0.7500 0.7500

=====

Entry 20:
VASP calculation (GGA-PBEsol) on a geometry-optimized RbCaSe2 structure.

Energy relative to the elements, uncorrected, eV per atom: -1.042
Calculated volume, Å³/cell: 341.8

a = 9.8787 Å, b = 9.8787 Å, c = 9.8787 Å
α = 143.33°, β = 143.33°, γ = 52.84°
Fractional positions:
Rb1 0.3750 0.6250 0.7500
Rb2 0.6250 0.3750 0.2500
Ca1 0.1250 0.8750 0.2500
Ca2 0.8750 0.1250 0.7500
Se1 0.0000 0.0000 0.0000
Se2 0.0000 0.0000 0.5000
Se3 0.0000 0.5000 0.0000
Se4 0.5000 0.0000 0.5000

=====

M_tot
In order: 0.00 0.00 0.00 0.00 1.91 1.03 0.00 0.20 2.30 0.00 0.94 3.05 0.00 0.00 0.00 0.00 0.00 0.00 0.01 0.00
Unit: Bohr magnetons per cell